A relaxed structure of CoHg, computed with PBE.

Computed properties:
Raw total energy = -3.263 eV per atom
Magnetization = 3.6 μB per cell
Energy of formation = 0.44 eV/atom

Cell: 2.9515 2.9515 9.0813 Å, 90.00 90.00 120.00°
With the nearest neighbours (Å) after each atom.
Space group P-3m1 (No. 164)
One atom of each set of equivalent atoms:
Co (0.3333, 0.6667, 0.4094) [2 per cell]  3 Co 2.37
Hg (0.3333, 0.6667, 0.8412) [2 per cell]  3 Co 2.84, 6 Hg 2.95

A relaxed structure of CoHg, computed with PBE.

Computed properties:
Raw total energy = -3.108 eV per atom
Magnetization = 3.4 μB per cell
Energy of formation = 0.60 eV/atom

Cell: 4.2853 4.2853 4.6531 Å, 90.00 90.00 120.00°
With the nearest neighbours (Å) after each atom.
Space group P6_3/mmc (No. 194)
One atom of each set of equivalent atoms:
Co (0.0000, 0.0000, 0.0000) [2 per cell]  2 Co 2.33
Hg (0.3333, 0.6667, 0.2500) [2 per cell]  6 Co 2.73

A relaxed structure of CoHg, computed with PBE.

Computed properties:
Raw total energy = -3.350 eV per atom
Magnetization = 9.6 μB per cell
Energy of formation = 0.35 eV/atom

Cell: 12.6186 2.8013 6.6606 Å, 90.00 117.23 90.00°
With the nearest neighbours (Å) after each atom.
Space group Cm (No. 8)
One atom of each set of equivalent atoms:
Co (0.0000, 0.0000, 0.0000) [2 per cell]  3 Co 2.28-2.44
Co (0.0786, 0.0000, 0.3844) [2 per cell]  3 Co 2.28-2.41
Co (0.1733, 0.5000, 0.2199) [2 per cell]  4 Co 2.41-2.44
Hg (0.0897, 0.5000, 0.7478) [2 per cell]  5 Co 2.74-2.82, 2 Hg 2.80
Hg (0.3178, 0.0000, 0.6444) [2 per cell]  5 Co 2.71-2.93, 2 Hg 2.80
Hg (0.3578, 0.0000, 0.1837) [2 per cell]  2 Hg 2.80, 6 Co 2.82-2.95

A relaxed structure of Co3Hg, computed with PBE.

Computed properties:
Raw total energy = -4.846 eV per atom
Magnetization = 14.6 μB per cell
Energy of formation = 0.56 eV/atom

Cell: 8.4096 8.4096 2.7016 Å, 90.00 90.00 120.00°
With the nearest neighbours (Å) after each atom.
Space group R-3m (No. 166, hexagonal axes)
One atom of each set of equivalent atoms:
Co (0.0000, 0.5000, 0.0000) [9 per cell]  2 Hg 2.59, 6 Co 2.59-2.70
Hg (0.0000, 0.0000, 0.0000) [3 per cell]  6 Co 2.59, 2 Hg 2.70

A relaxed structure of CoHg2, computed with PBE.

Computed properties:
Raw total energy = -2.213 eV per atom
Magnetization = 4.9 μB per cell
Energy of formation = 0.36 eV/atom

Cell: 4.0571 5.0685 12.6864 Å, 90.00 90.00 90.00°
With the nearest neighbours (Å) after each atom.
Space group Pnma (No. 62)
One atom of each set of equivalent atoms:
Co (0.2281, 0.2500, 0.2111) [4 per cell]  2 Co 2.26
Hg (0.2236, 0.7500, 0.1559) [4 per cell]  2 Co 2.63, 1 Hg 2.90
Hg (0.2274, 0.2500, 0.4277) [4 per cell]  3 Co 2.68-2.75, 1 Hg 2.90

A relaxed structure of Co3Hg, computed with PBE.

Computed properties:
Raw total energy = -4.990 eV per atom
Magnetization = 19.3 μB per cell
Energy of formation = 0.41 eV/atom

Cell: 4.7204 8.5454 5.3585 Å, 90.00 90.00 90.00°
With the nearest neighbours (Å) after each atom.
Space group Pnma (No. 62)
One atom of each set of equivalent atoms:
Co (0.0637, 0.2500, 0.1288) [4 per cell]  6 Co 2.43-2.69, 2 Hg 2.57-2.64
Co (0.2169, 0.5122, 0.8566) [8 per cell]  7 Co 2.43-2.71, 2 Hg 2.67-2.72
Hg (0.0539, 0.2500, 0.6085) [4 per cell]  10 Co 2.57-2.79, 2 Hg 2.81

A relaxed structure of CoHg, computed with PBE.

Computed properties:
Raw total energy = -3.312 eV per atom
Magnetization = 9.0 μB per cell
Energy of formation = 0.39 eV/atom

Cell: 7.7557 7.7557 4.0932 Å, 90.00 90.00 120.00°
With the nearest neighbours (Å) after each atom.
Space group P6_3/mmc (No. 194)
One atom of each set of equivalent atoms:
Co (0.1230, 0.5615, 0.2500) [6 per cell]  4 Co 2.45-2.63, 6 Hg 2.71-2.74
Hg (0.1803, 0.3606, 0.7500) [6 per cell]  6 Co 2.71-2.74

A relaxed structure of CoHg3, computed with PBE.

Computed properties:
Raw total energy = -1.723 eV per atom
Magnetization = 2.2 μB per cell
Energy of formation = 0.28 eV/atom

Cell: 2.9162 4.5511 12.9240 Å, 90.00 90.00 90.00°
With the nearest neighbours (Å) after each atom.
Space group Immm (No. 71)
One atom of each set of equivalent atoms:
Co (0.0000, 0.0000, 0.0000) [2 per cell]  8 Hg 2.70-2.74, 2 Co 2.92
Hg (0.0000, 0.0000, 0.5000) [2 per cell]  4 Co 2.70, 2 Hg 2.92
Hg (0.0000, 0.5000, 0.3202) [4 per cell]  2 Co 2.74, 2 Hg 2.92

| no. | D(E_F) (states/eV/cell) |
| --- | --- |
| 1 | 3.47 |
| 2 | 7.47 |
| 3 | 13.54 |
| 4 | 24.05 |
| 5 | 6.88 |
| 6 | 20.29 |
| 7 | 14.35 |
| 8 | 6.13 |